1.
Compound: LiNb2SiC
Source: Alexandria via LeMat-Bulk
Functional: PBE
Structure: relaxed

Geometry as POSCAR:
```
LiNb2SiC
1.0
4.398 0.000 0.000
0.000 4.398 0.000
0.000 0.000 3.733
Li Nb Si C
1 2 1 1
Direct
0.000 0.000 0.000 Li
0.000 0.500 0.000 Nb
0.500 0.000 0.000 Nb
0.000 0.000 0.500 Si
0.500 0.500 0.500 C
```

As for the calculated total energy: -28.29 eV per formula unit. The density of states at the Fermi level is 4.75 states/eV/f.u.



2.
Compound: AlIn2Os
Source: Alexandria via LeMat-Bulk
Functional: PBE
Structure: relaxed

Geometry as POSCAR:
```
AlIn2Os
1.0
4.260 0.000 0.000
0.000 1.736 5.178
0.000 -1.736 5.178
Al In Os
1 2 1
Direct
0.000 0.000 0.000 Al
0.000 0.276 0.276 In
0.500 0.599 0.599 In
0.500 0.875 0.875 Os
```

The value obtained for the formation energy is 0.169 eV/atom. As for the calculated total energy: -19.77 eV per formula unit. The density of states at the Fermi level is 1.36 states/eV/f.u.



3.
Compound: CrIr2Pt
Source: Alexandria via LeMat-Bulk
Functional: PBE
Structure: relaxed

Geometry as POSCAR:
```
CrIr2Pt
1.0
3.318 0.000 0.000
0.000 3.318 0.000
0.000 0.000 5.382
Cr Ir Pt
1 2 1
Direct
0.000 0.000 0.000 Cr
0.000 0.000 0.483 Ir
0.500 0.500 0.247 Ir
0.500 0.500 0.751 Pt
```

The value obtained for the formation energy is 0.120 eV/atom. As for the calculated total energy: -32.91 eV per formula unit. The density of states at the Fermi level is 5.64 states/eV/f.u.



4.
Compound: Cs3RbF4
Source: Alexandria via LeMat-Bulk
Functional: PBE
Structure: relaxed

Geometry as POSCAR:
```
Cs3RbF4
1.0
4.257 -5.989 0.000
4.257 5.989 0.000
0.000 0.000 4.253
Cs Rb F
3 1 4
Direct
0.000 0.000 0.000 Cs
0.000 0.500 0.500 Cs
0.500 0.000 0.500 Cs
0.500 0.500 0.000 Rb
0.256 0.744 0.000 F
0.260 0.260 0.500 F
0.740 0.740 0.500 F
0.744 0.256 0.000 F
```

As for the calculated total energy: -32.21 eV per formula unit. The density of states at the Fermi level is 0.00 states/eV/f.u.



5.
Compound: PuTl2Se2Br2
Source: Alexandria via LeMat-Bulk
Functional: PBE
Structure: relaxed

Geometry as POSCAR:
```
PuTl2Se2Br2
1.0
-2.755 2.755 8.329
2.755 -2.755 8.329
2.755 2.755 -8.329
Pu Tl Se Br
1 2 2 2
Direct
0.000 0.000 0.000 Pu
0.374 0.374 0.000 Tl
0.626 0.626 0.000 Tl
0.000 0.500 0.500 Se
0.500 0.000 0.500 Se
0.170 0.170 0.000 Br
0.830 0.830 0.000 Br
```

As for the calculated total energy: -36.08 eV per formula unit. The density of states at the Fermi level is 8.62 states/eV/f.u.



6.
Compound: LiCdTe2H
Source: Alexandria via LeMat-Bulk
Functional: PBE
Structure: relaxed

Geometry as POSCAR:
```
LiCdTe2H
1.0
5.614 0.000 0.000
0.000 5.614 0.000
0.000 0.000 5.597
Li Cd Te H
1 1 2 1
Direct
0.000 0.000 0.000 Li
0.000 0.000 0.500 Cd
0.000 0.500 0.500 Te
0.500 0.000 0.500 Te
0.500 0.500 0.000 H
```

As for the calculated total energy: -9.63 eV per formula unit. The density of states at the Fermi level is 3.10 states/eV/f.u.



7.
Compound: Tb4DyY7
Source: Alexandria via LeMat-Bulk
Functional: PBE
Structure: relaxed

Geometry as POSCAR:
```
Tb4DyY7
1.0
6.047 -2.939 0.000
6.047 2.939 0.000
-5.975 0.000 11.273
Tb Dy Y
4 1 7
Direct
0.141 0.141 0.276 Tb
0.264 0.264 0.824 Tb
0.736 0.736 0.176 Tb
0.859 0.859 0.724 Tb
0.500 0.500 0.500 Dy
0.000 0.000 0.500 Y
0.133 0.133 0.998 Y
0.289 0.289 0.576 Y
0.436 0.436 0.184 Y
0.564 0.564 0.816 Y
0.711 0.711 0.424 Y
0.867 0.867 0.002 Y
```

The value obtained for the formation energy is 0.292 eV/atom. As for the calculated total energy: -64.86 eV per formula unit. Its offset from the most stable computed form is 205.0 meV/atom. The density of states at the Fermi level is 21.73 states/eV/f.u.



8.
Compound: Pm2NdZn4
Source: Alexandria via LeMat-Bulk
Functional: PBE
Structure: relaxed

Geometry as POSCAR:
```
Pm2NdZn4
1.0
-2.640 2.640 6.405
2.640 -2.640 6.405
2.640 2.640 -6.405
Pm Nd Zn
2 1 4
Direct
0.220 0.220 0.000 Pm
0.780 0.780 0.000 Pm
0.500 0.500 0.000 Nd
0.109 0.609 0.500 Zn
0.391 0.891 0.500 Zn
0.609 0.109 0.500 Zn
0.891 0.391 0.500 Zn
```

The value obtained for the formation energy is -0.142 eV/atom. As for the calculated total energy: -20.36 eV per formula unit. The density of states at the Fermi level is 4.97 states/eV/f.u.



9.
Compound: CsNpO2
Source: Alexandria via LeMat-Bulk
Functional: PBE
Structure: relaxed

Geometry as POSCAR:
```
CsNpO2
1.0
3.161 0.000 0.000
0.000 3.161 0.000
0.000 0.000 7.049
Cs Np O
1 1 2
Direct
0.000 0.000 0.000 Cs
0.000 0.000 0.500 Np
0.500 0.500 0.318 O
0.500 0.500 0.682 O
```

As for the calculated total energy: -30.36 eV per formula unit. The density of states at the Fermi level is 5.25 states/eV/f.u.



10.
Compound: B3Os
Source: Alexandria via LeMat-Bulk
Functional: PBE
Structure: relaxed

Geometry as POSCAR:
```
B3Os
1.0
2.856 0.000 0.000
0.000 2.856 0.000
0.000 0.000 4.058
B Os
3 1
Direct
0.000 0.000 0.000 B
0.000 0.500 0.731 B
0.500 0.000 0.731 B
0.500 0.500 0.320 Os
```

The value obtained for the formation energy is 0.249 eV/atom. As for the calculated total energy: -30.27 eV per formula unit. The density of states at the Fermi level is 1.51 states/eV/f.u.



11.
Compound: Nd3TiN4
Source: Alexandria via LeMat-Bulk
Functional: PBE
Structure: relaxed

Geometry as POSCAR:
```
Nd3TiN4
1.0
7.828 0.000 0.000
0.000 6.914 0.000
0.000 0.000 5.270
Nd Ti N
6 2 8
Direct
0.000 0.145 0.000 Nd
0.246 0.332 0.502 Nd
0.254 0.668 0.002 Nd
0.500 0.855 0.500 Nd
0.746 0.668 0.002 Nd
0.754 0.332 0.502 Nd
0.000 0.824 0.460 Ti
0.500 0.176 0.960 Ti
0.000 0.112 0.507 N
0.000 0.819 0.096 N
0.223 0.687 0.514 N
0.277 0.313 0.014 N
0.500 0.181 0.596 N
0.500 0.888 0.007 N
0.723 0.313 0.014 N
0.777 0.687 0.514 N
```

As for the calculated total energy: -66.12 eV per formula unit. The density of states at the Fermi level is 2.79 states/eV/f.u.



12.
Compound: IrPbSe4
Source: Alexandria via LeMat-Bulk
Functional: PBE
Structure: relaxed

Geometry as POSCAR:
```
IrPbSe4
1.0
0.000 4.029 4.029
4.029 0.000 4.029
4.029 4.029 0.000
Ir Pb Se
1 1 4
Direct
0.000 0.000 0.000 Ir
0.750 0.750 0.750 Pb
0.372 0.372 0.372 Se
0.372 0.372 0.885 Se
0.372 0.885 0.372 Se
0.885 0.372 0.372 Se
```

As for the calculated total energy: -20.95 eV per formula unit. The density of states at the Fermi level is 7.01 states/eV/f.u.